No. 1
The following is a PBE calculation of Tb4Tl3Pd after structural relaxation, from Alexandria.

- energy relative to the lowest polymorph listed for this composition (meV/atom) = 45.4
- density of states at the Fermi level (states/eV/atom) = 0.831
- space-group type = Pmm2
- DFT formation energy (eV/atom) = -0.44

Geometry as POSCAR:
```
Tb4Tl3Pd
1.0
3.860 0.000 0.000
0.000 4.846 0.000
0.000 0.000 11.635
Tb Tl Pd
4 3 1
direct
0.000 0.000 0.000
0.000 0.500 0.259
0.500 0.000 0.451
0.500 0.500 0.770
0.000 0.000 0.710
0.000 0.500 0.530
0.500 0.500 0.036
0.500 0.000 0.202
```

No. 2
The following is a PBE calculation of Hf3SiP after structural relaxation, from Alexandria.

- energy relative to the lowest polymorph listed for this composition (meV/atom) = 0.0
- density of states at the Fermi level (states/eV/atom) = 0.360
- raw formation energy (eV/atom) = -0.70
- space-group type = Pmma

Geometry as POSCAR:
```
Hf3SiP
1.0
5.380 0.000 0.000
0.000 4.784 0.000
0.000 0.000 7.562
Hf Si P
6 2 2
direct
0.000 0.000 0.000
0.250 0.000 0.354
0.250 0.500 0.753
0.500 0.000 0.000
0.750 0.000 0.646
0.750 0.500 0.247
0.250 0.500 0.131
0.750 0.500 0.869
0.250 0.000 0.687
0.750 0.000 0.313
```

No. 3
The following is a PBE calculation of Ca2Cr2Ge after structural relaxation, from Alexandria.

- density of states at the Fermi level (states/eV/atom) = 0.884
- space-group type = P4/mbm
- DFT formation energy (eV/atom) = 0.75

Geometry as POSCAR:
```
Ca2Cr2Ge
1.0
8.226 0.000 0.000
0.000 8.226 0.000
0.000 0.000 3.924
Ca Cr Ge
4 4 2
direct
0.161 0.339 0.000
0.339 0.839 0.000
0.661 0.161 0.000
0.839 0.661 0.000
0.137 0.637 0.500
0.363 0.137 0.500
0.637 0.863 0.500
0.863 0.363 0.500
0.000 0.000 0.000
0.500 0.500 0.000
```

No. 4
The following is a PBE calculation of CrIn2Mo after structural relaxation, from Alexandria.

- energy relative to the lowest polymorph listed for this composition (meV/atom) = 258.6
- density of states at the Fermi level (states/eV/atom) = 0.791
- space-group type = C2/m
- DFT formation energy (eV/atom) = 0.49

Geometry as POSCAR:
```
CrIn2Mo
1.0
4.742 -1.492 0.000
4.742 1.492 0.000
-0.920 0.000 5.275
Cr In Mo
1 2 1
direct
0.000 0.000 0.000
0.250 0.250 0.749
0.750 0.750 0.251
0.500 0.500 0.500
```

| no. | theoretical density (g/cm³) |
| --- | --- |
| 1 | 10.3 |
| 2 | 10.1 |
| 3 | 3.2 |
| 4 | 8.4 |